No. 1
{
  "formula": "CaSi2Br",
  "functional": "PBE",
  "state": "relaxed",
  "cell": [[-1.025, -3.764, -3.161], [3.078, -0.953, -3.851], [2.840, -4.141, 0.021]],
  "species": ["Ca", "Si", "Si", "Br"],
  "frac_coords": [[0.250, 0.250, 0.250], [0.000, 0.000, 0.000], [0.750, 0.750, 0.750], [0.500, 0.500, 0.500]],
  "spacegroup": "F-43m, No. 216",
  "raw_formation_energy_ev_per_fu": 0.03,
  "density_g_cm3": 3.27,
  "e_tot_ev_per_cell": -14.49,
  "polymorph_energy_kj_per_mol_atoms": 65.9,
  "magnetic_moment_mub_per_fu": 0.00
}

No. 2
{
  "formula": "Sc2VC2",
  "functional": "PBE",
  "state": "relaxed",
  "cell": [[4.837, 0.000, 0.000], [0.000, 6.060, 0.000], [-2.419, -3.030, 4.376]],
  "species": ["C", "C", "C", "C", "Sc", "Sc", "Sc", "Sc", "V", "V"],
  "frac_coords": [[0.599, 0.352, 0.197], [0.901, 0.155, 0.803], [0.401, 0.648, 0.803], [0.099, 0.845, 0.197], [0.656, 0.017, 0.312], [0.844, 0.705, 0.688], [0.156, 0.295, 0.312], [0.344, 0.983, 0.688], [0.750, 0.500, 0.000], [0.250, 0.500, 0.000]],
  "spacegroup": "Ibam, No. 72",
  "density_g_cm3": 4.27,
  "e_tot_ev_per_cell": -83.95,
  "delta_e_f_mev_per_atom": -349,
  "polymorph_energy_kj_per_mol_atoms": 6.1,
  "magnetic_moment_mub_per_fu": 0.00
}

No. 3
{
  "formula": "TaSb2As",
  "functional": "PBE",
  "state": "relaxed",
  "cell": [[3.619, 0.000, 0.000], [0.000, 6.438, -0.026], [0.000, 4.545, 4.561]],
  "species": ["Sb", "Sb", "As", "Ta"],
  "frac_coords": [[0.000, 0.432, 0.432], [0.000, 0.068, 0.068], [0.500, 0.750, 0.750], [0.500, 0.250, 0.250]],
  "spacegroup": "Cmmm, No. 65",
  "raw_formation_energy_ev_per_fu": 0.37,
  "density_g_cm3": 7.77,
  "e_tot_ev_per_cell": -24.37,
  "magnetic_moment_mub_per_fu": 0.00
}

No. 4
{
  "formula": "ZrAl2Te",
  "functional": "PBE",
  "state": "relaxed",
  "cell": [[9.034, -0.004, -0.002], [8.404, 3.315, -0.002], [8.404, 1.595, 2.905]],
  "species": ["Te", "Al", "Al", "Zr"],
  "frac_coords": [[0.250, 0.250, 0.250], [0.502, 0.502, 0.502], [0.998, 0.998, 0.998], [0.750, 0.750, 0.750]],
  "spacegroup": "R-3m, No. 166",
  "raw_formation_energy_ev_per_fu": 0.03,
  "density_g_cm3": 5.20,
  "e_tot_ev_per_cell": -19.14,
  "magnetic_moment_mub_per_fu": 0.00
}

No. 5
{
  "formula": "Sc2Ru2Pt",
  "functional": "PBE",
  "state": "relaxed",
  "cell": [[6.721, 0.000, 0.000], [0.000, 6.721, 0.000], [0.000, 0.000, 3.916]],
  "species": ["Pt", "Pt", "Sc", "Sc", "Sc", "Sc", "Ru", "Ru", "Ru", "Ru"],
  "frac_coords": [[0.000, 0.000, 0.000], [0.500, 0.500, 0.000], [0.819, 0.319, 0.500], [0.181, 0.681, 0.500], [0.319, 0.181, 0.500], [0.681, 0.819, 0.500], [0.874, 0.626, 0.000], [0.374, 0.874, 0.000], [0.126, 0.374, 0.000], [0.626, 0.126, 0.000]],
  "spacegroup": "P4/mbm, No. 127",
  "density_g_cm3": 9.14,
  "e_tot_ev_per_cell": -79.59,
  "delta_e_f_mev_per_atom": -508,
  "magnetic_moment_mub_per_fu": 0.00
}

No. 6
{
  "formula": "CrP",
  "functional": "PBE",
  "state": "relaxed",
  "cell": [[-3.982, -4.663, 2.448], [5.086, -4.202, 0.268], [1.369, 2.047, 6.126]],
  "species": ["P", "P", "P", "P", "P", "P", "Cr", "Cr", "Cr", "Cr", "Cr", "Cr"],
  "frac_coords": [[0.500, 0.250, 0.000], [0.500, 0.750, 0.000], [0.000, 0.500, 0.750], [0.000, 0.500, 0.250], [0.250, 0.000, 0.500], [0.750, 0.000, 0.500], [0.250, 0.500, 0.000], [0.500, 0.000, 0.750], [0.750, 0.500, 0.000], [0.000, 0.250, 0.500], [0.000, 0.750, 0.500], [0.500, 0.000, 0.250]],
  "spacegroup": "Pm-3n, No. 223",
  "density_g_cm3": 2.87,
  "e_tot_ev_per_cell": -88.46,
  "delta_e_f_mev_per_atom": 145,
  "magnetic_moment_mub_per_fu": 2.96
}